Entry 1:
The following is a DFT calculation (PBE-GGA) of a relaxed structure of La2UZnRh6.

Results
Calculated volume: 21.49 A^3/atom
Energy relative to the elements: -0.455 eV/atom
Mass density: 9262 kg/m³
Space-group type: R-3m
Total DFT energy (no corrections): -7.11 eV/atom

Cell lengths 8.305, 8.305, 8.305 Å; angles 40.17, 40.17, 40.17 degrees
Positions (direct):
La: 0.214 0.214 0.214
La: 0.786 0.786 0.786
U: 0.000 0.000 0.000
Zn: 0.500 0.500 0.500
Rh: 0.249 0.249 0.742
Rh: 0.249 0.742 0.249
Rh: 0.258 0.751 0.751
Rh: 0.742 0.249 0.249
Rh: 0.751 0.258 0.751
Rh: 0.751 0.751 0.258



Entry 2:
The following is a DFT calculation (PBE-GGA) of a relaxed structure of RbZn2Au.

Results
Calculated volume: 25.07 A^3/atom
Energy relative to the elements: 0.186 eV/atom
Mass density: 6844 kg/m³
Space-group type: Fm-3m
Total DFT energy (no corrections): -1.51 eV/atom

Cell lengths 5.215, 5.215, 5.215 Å; angles 60.00, 60.00, 60.00 degrees
Positions (direct):
Rb: 0.000 0.000 0.000
Zn: 0.250 0.250 0.250
Zn: 0.750 0.750 0.750
Au: 0.500 0.500 0.500



Entry 3:
The following is a DFT calculation (PBE-GGA) of a relaxed structure of Li2Ce2Pt3.

Results
Calculated volume: 21.86 A^3/atom
Energy relative to the elements: -0.781 eV/atom
Mass density: 9543 kg/m³
Space-group type: C2/m
Total DFT energy (no corrections): -5.61 eV/atom

Cell lengths 7.192, 7.192, 5.342 Å; angles 98.57, 98.57, 34.10 degrees
Positions (direct):
Li: 0.099 0.099 0.081
Li: 0.901 0.901 0.919
Ce: 0.359 0.359 0.406
Ce: 0.641 0.641 0.594
Pt: 0.000 0.000 0.500
Pt: 0.265 0.265 0.840
Pt: 0.735 0.735 0.160



Entry 4:
The following is a DFT calculation (PBE-GGA) of a relaxed structure of ScMnAg2.

Results
Calculated volume: 18.47 A^3/atom
Energy relative to the elements: 0.153 eV/atom
Mass density: 7093 kg/m³
Space-group type: R3m
Total DFT energy (no corrections): -5.15 eV/atom

Cell lengths 9.335, 9.335, 9.335 Å; angles 18.81, 18.81, 18.81 degrees
Positions (direct):
Sc: 0.000 0.000 0.000
Mn: 0.253 0.253 0.253
Ag: 0.507 0.507 0.507
Ag: 0.754 0.754 0.754



Entry 5:
The following is a DFT calculation (PBE-GGA) of a relaxed structure of Ce3PuZn.

Results
Calculated volume: 27.15 A^3/atom
Energy relative to the elements: 0.025 eV/atom
Mass density: 8928 kg/m³
Space-group type: R3m
Total DFT energy (no corrections): -6.66 eV/atom

Cell lengths 7.596, 7.596, 7.596 Å; angles 54.67, 54.67, 54.67 degrees
Positions (direct):
Ce: 0.167 0.167 0.665
Ce: 0.167 0.665 0.167
Ce: 0.173 0.682 0.682
Ce: 0.665 0.167 0.167
Ce: 0.682 0.173 0.682
Ce: 0.682 0.682 0.173
Pu: 0.250 0.250 0.250
Pu: 0.921 0.921 0.921
Zn: 0.112 0.112 0.112
Zn: 0.648 0.648 0.648



Entry 6:
The following is a DFT calculation (PBE-GGA) of a relaxed structure of ZrMnSb2.

Results
Calculated volume: 19.78 A^3/atom
Raw formation energy: 0.16 eV per atom
Mass density: 8177 kg/m³
Space-group type: Fm-3m
Total DFT energy (no corrections): -6.34 eV/atom

Cell lengths 4.819, 4.819, 4.819 Å; angles 60.00, 60.00, 60.00 degrees
Positions (direct):
Zr: 0.000 0.000 0.000
Mn: 0.500 0.500 0.500
Sb: 0.250 0.250 0.250
Sb: 0.750 0.750 0.750



Entry 7:
The following is a DFT calculation (PBE-GGA) of a relaxed structure of BaGaPd3.

Results
Calculated volume: 21.26 A^3/atom
Energy relative to the elements: -0.558 eV/atom
Mass density: 8223 kg/m³
Space-group type: Cm
Total DFT energy (no corrections): -4.66 eV/atom

Cell lengths 6.417, 6.417, 7.388 Å; angles 119.21, 119.21, 57.18 degrees
Positions (direct):
Ba: 0.000 0.000 0.000
Ba: 0.124 0.124 0.585
Ga: 0.414 0.414 0.293
Ga: 0.508 0.508 0.757
Pd: 0.061 0.589 0.467
Pd: 0.526 0.967 0.024
Pd: 0.577 0.577 0.158
Pd: 0.589 0.061 0.467
Pd: 0.674 0.674 0.614
Pd: 0.967 0.526 0.024



Entry 8:
The following is a DFT calculation (PBE-GGA) of a relaxed structure of Li2ZnCd2Ag2.

Results
Calculated volume: 17.64 A^3/atom
Energy relative to the elements: -0.168 eV/atom
Mass density: 6991 kg/m³
Space-group type: C2/m
Total DFT energy (no corrections): -1.97 eV/atom

Cell lengths 5.471, 5.471, 5.421 Å; angles 94.59, 94.59, 49.82 degrees
Positions (direct):
Li: 0.225 0.225 0.339
Li: 0.775 0.775 0.661
Zn: 0.500 0.500 0.500
Cd: 0.075 0.075 0.770
Cd: 0.925 0.925 0.230
Ag: 0.360 0.360 0.904
Ag: 0.640 0.640 0.096



Entry 9:
The following is a DFT calculation (PBE-GGA) of a relaxed structure of Pm8Nd3Er.

Results
Calculated volume: 37.61 A^3/atom
Energy relative to the elements: 0.561 eV/atom
Mass density: 6475 kg/m³
Space-group type: I-42m
Total DFT energy (no corrections): -4.18 eV/atom

Cell lengths 8.512, 8.512, 8.512 Å; angles 117.47, 117.47, 94.44 degrees
Positions (direct):
Pm: 0.124 0.124 0.752
Pm: 0.240 0.240 0.494
Pm: 0.254 0.760 0.000
Pm: 0.372 0.372 0.248
Pm: 0.628 0.876 0.000
Pm: 0.746 0.746 0.506
Pm: 0.760 0.254 0.000
Pm: 0.876 0.628 0.000
Nd: 0.250 0.750 0.500
Nd: 0.500 0.500 0.000
Nd: 0.750 0.250 0.500
Er: 0.000 0.000 0.000



Entry 10:
The following is a DFT calculation (PBE-GGA) of a relaxed structure of PmYScZn.

Results
Calculated volume: 26.10 A^3/atom
Energy relative to the elements: -0.156 eV/atom
Mass density: 5476 kg/m³
Space-group type: P4mm
Total DFT energy (no corrections): -4.86 eV/atom

Cell lengths 3.491, 3.491, 8.565 Å; angles 90.00, 90.00, 90.00 degrees
Positions (direct):
Pm: 0.000 0.000 0.000
Y: 0.500 0.500 0.685
Sc: 0.500 0.500 0.286
Zn: 0.000 0.000 0.460



Entry 11:
The following is a DFT calculation (PBE-GGA) of a relaxed structure of NpZnGePd.

Results
Calculated volume: 18.52 A^3/atom
Energy relative to the elements: -0.115 eV/atom
Mass density: 10791 kg/m³
Space-group type: F-43m
Total DFT energy (no corrections): -6.12 eV/atom

Cell lengths 4.714, 4.714, 4.714 Å; angles 60.00, 60.00, 60.00 degrees
Positions (direct):
Np: 0.000 0.000 0.000
Zn: 0.250 0.250 0.250
Ge: 0.750 0.750 0.750
Pd: 0.500 0.500 0.500



Entry 12:
The following is a DFT calculation (PBE-GGA) of a relaxed structure of PmNdTmIn.

Results
Calculated volume: 29.78 A^3/atom
Energy relative to the elements: -0.102 eV/atom
Mass density: 7988 kg/m³
Space-group type: F-43m
Total DFT energy (no corrections): -4.28 eV/atom

Cell lengths 5.523, 5.523, 5.523 Å; angles 60.00, 60.00, 60.00 degrees
Positions (direct):
Pm: 0.000 0.000 0.000
Nd: 0.750 0.750 0.750
Tm: 0.250 0.250 0.250
In: 0.500 0.500 0.500